1.
Here is crystalline ZrHRu3 at its relaxed geometry from the Alexandria database. Energies are from PBE.

Cell lengths 4.007, 4.007, 4.007 Å; angles 90.00, 90.00, 90.00 degrees
Sites, in units of the cell vectors:
Zr 0.500 0.500 0.500
Ru 0.500 0.000 0.000
Ru 0.000 0.000 0.500
Ru 0.000 0.500 0.000
H 0.000 0.000 0.000

Calculated values
E above lowest polymorph, kcal/mol of atoms: 0.000
Space-group type: Pm-3m

=====

2.
Here is crystalline SrLiRu at its relaxed geometry from the Alexandria database. Energies are from PBE.

Cell lengths 3.408, 3.408, 7.026 Å; angles 90.00, 90.00, 120.00 degrees
Sites, in units of the cell vectors:
Li 0.000 0.000 0.073
Ru 0.667 0.333 0.314
Sr 0.333 0.667 0.612

Calculated values
ΔH_f (0 K), eV per atom: 0.73
E above lowest polymorph, kcal/mol of atoms: 5.584
Space-group type: P3m1

=====

3.
Here is crystalline SnAuN2O at its relaxed geometry from the Alexandria database. Energies are from PBE.

Cell lengths 4.059, 4.059, 4.417 Å; angles 90.00, 90.00, 90.00 degrees
Sites, in units of the cell vectors:
O 0.000 0.000 0.500
N 0.000 0.500 0.000
N 0.500 0.000 0.000
Au 0.000 0.000 0.000
Sn 0.500 0.500 0.500

Calculated values
Space-group type: P4/mmm
E_tot, eV/cell: -22.3

=====

4.
Here is crystalline CuReTe2N at its relaxed geometry from the Alexandria database. Energies are from PBE.

Cell lengths 5.379, 5.379, 3.717 Å; angles 90.00, 90.00, 90.00 degrees
Sites, in units of the cell vectors:
Re 0.000 0.000 0.000
Te 0.000 0.500 0.000
Te 0.500 0.000 0.000
N 0.000 0.000 0.500
Cu 0.500 0.500 0.500

Calculated values
E above lowest polymorph, kcal/mol of atoms: 0.000
Space-group type: P4/mmm

=====

5.
Here is crystalline Ca2SnGeO6 at its relaxed geometry from the Alexandria database. Energies are from PBE.

Cell lengths 4.925, 5.240, 5.240 Å; angles 90.00, 90.00, 90.00 degrees
Sites, in units of the cell vectors:
Ge 0.583 0.000 0.000
O 0.714 0.760 0.240
O 0.714 0.240 0.760
O 0.225 0.000 0.000
O 0.173 0.500 0.500
O 0.714 0.760 0.760
O 0.714 0.240 0.240
Ca 0.017 0.000 0.500
Ca 0.017 0.500 0.000
Sn 0.574 0.500 0.500

Calculated values
Space-group type: P4mm
E_tot, eV/cell: -63.9

=====

6.
Here is crystalline LaFe2W at its relaxed geometry from the Alexandria database. Energies are from PBE.

Cell lengths 6.940, 6.940, 5.780 Å; angles 53.11, 53.11, 90.00 degrees
Sites, in units of the cell vectors:
Fe 0.675 0.125 0.250
Fe 0.875 0.925 0.750
Fe 0.075 0.625 0.250
Fe 0.375 0.325 0.750
La 0.250 0.750 0.500
La 0.500 0.500 0.000
W 0.000 0.000 0.000
W 0.750 0.250 0.500

Calculated values
ΔH_f (0 K), eV per atom: 0.78
E above lowest polymorph, kcal/mol of atoms: 12.141
Space-group type: I-42d

=====

7.
Here is crystalline Ce2Sm2Co at its relaxed geometry from the Alexandria database. Energies are from PBE.

Cell lengths 6.919, 6.858, 6.719 Å; angles 99.35, 90.00, 120.30 degrees
Sites, in units of the cell vectors:
Ce 0.997 0.202 0.502
Ce 0.003 0.798 0.498
Ce 0.795 0.798 0.998
Ce 0.205 0.202 0.002
Co 0.753 0.000 0.750
Co 0.247 0.000 0.250
Sm 0.264 0.716 0.881
Sm 0.548 0.284 0.619
Sm 0.736 0.284 0.119
Sm 0.452 0.716 0.381

Calculated values
ΔH_f (0 K), eV per atom: 0.01
Space-group type: C2/c

=====

8.
Here is crystalline Li3HPb at its relaxed geometry from the Alexandria database. Energies are from PBE.

Cell lengths 5.414, 5.414, 5.414 Å; angles 90.00, 90.00, 90.00 degrees
Sites, in units of the cell vectors:
Li 0.500 0.000 0.000
Li 0.000 0.500 0.000
Li 0.000 0.000 0.500
Pb 0.000 0.000 0.000
H 0.500 0.500 0.500

Calculated values
E above lowest polymorph, kcal/mol of atoms: 18.841
Space-group type: Pm-3m

=====

9.
Here is crystalline Th2CrNi9 at its relaxed geometry from the Alexandria database. Energies are from PBE.

Cell lengths 4.937, 4.937, 8.697 Å; angles 73.51, 73.51, 60.00 degrees
Sites, in units of the cell vectors:
Th 0.132 0.132 0.605
Th 0.868 0.868 0.395
Ni 0.581 0.581 0.759
Ni 0.921 0.419 0.241
Ni 0.333 0.333 0.001
Ni 0.419 0.419 0.241
Ni 0.419 0.921 0.241
Ni 0.581 0.079 0.759
Ni 0.500 0.500 0.500
Ni 0.667 0.667 0.999
Ni 0.079 0.581 0.759
Cr 0.000 0.000 0.000

Calculated values
ΔH_f (0 K), eV per atom: -0.16
Space-group type: R-3m

=====

10.
Here is crystalline HgMo3 at its relaxed geometry from the Alexandria database. Energies are from PBE.

Cell lengths 2.849, 4.679, 5.062 Å; angles 90.00, 90.00, 90.00 degrees
Sites, in units of the cell vectors:
Mo 0.500 0.500 0.811
Mo 0.000 0.500 0.340
Mo 0.500 0.000 0.508
Hg 0.000 0.000 0.007

Calculated values
ΔH_f (0 K), eV per atom: 0.52
E above lowest polymorph, kcal/mol of atoms: 4.695
Space-group type: Pmm2

=====

11.
Here is crystalline Er3Tm7 at its relaxed geometry from the Alexandria database. Energies are from PBE.

Cell lengths 4.914, 6.983, 9.219 Å; angles 100.87, 105.46, 90.00 degrees
Sites, in units of the cell vectors:
Tm 0.600 0.800 0.200
Tm 0.800 0.900 0.600
Tm 0.400 0.700 0.800
Tm 0.600 0.300 0.200
Tm 0.400 0.200 0.800
Tm 0.200 0.100 0.400
Tm 0.000 0.500 0.000
Er 0.200 0.600 0.400
Er 0.000 0.000 0.000
Er 0.800 0.400 0.600

Calculated values
ΔH_f (0 K), eV per atom: 0.02
E above lowest polymorph, kcal/mol of atoms: 0.000
Space-group type: C2/m

=====

12.
Here is crystalline PdRuPt14 at its relaxed geometry from the Alexandria database. Energies are from PBE.

Cell lengths 5.633, 5.633, 7.821 Å; angles 90.00, 90.00, 90.00 degrees
Sites, in units of the cell vectors:
Pt 0.627 0.123 0.254
Pt 0.123 0.627 0.746
Pt 0.123 0.123 0.254
Pt 0.375 0.875 0.000
Pt 0.627 0.627 0.746
Pt 0.875 0.375 0.000
Pt 0.875 0.375 0.500
Pt 0.627 0.123 0.746
Pt 0.627 0.627 0.254
Pt 0.375 0.375 0.000
Pt 0.123 0.627 0.254
Pt 0.375 0.875 0.500
Pt 0.123 0.123 0.746
Pt 0.875 0.875 0.000
Ru 0.875 0.875 0.500
Pd 0.375 0.375 0.500

Calculated values
ΔH_f (0 K), eV per atom: -0.01
Space-group type: P4/mmm

=====

13.
Here is crystalline V5Ru4W at its relaxed geometry from the Alexandria database. Energies are from PBE.

Cell lengths 3.024, 3.024, 15.162 Å; angles 90.00, 90.00, 90.00 degrees
Sites, in units of the cell vectors:
V 0.500 0.500 0.301
V 0.500 0.500 0.900
V 0.500 0.500 0.699
V 0.500 0.500 0.100
V 0.500 0.500 0.500
W 0.000 0.000 0.000
Ru 0.000 0.000 0.402
Ru 0.000 0.000 0.796
Ru 0.000 0.000 0.598
Ru 0.000 0.000 0.204

Calculated values
ΔH_f (0 K), eV per atom: -0.23
Space-group type: P4/mmm

=====

14.
Here is crystalline FeMo2Ir at its relaxed geometry from the Alexandria database. Energies are from PBE.

Cell lengths 3.843, 2.727, 6.083 Å; angles 63.28, 90.00, 90.00 degrees
Sites, in units of the cell vectors:
Mo 0.000 0.510 0.490
Mo 0.000 0.990 0.010
Fe 0.500 0.250 0.250
Ir 0.500 0.750 0.750

Calculated values
ΔH_f (0 K), eV per atom: -0.05
E above lowest polymorph, kcal/mol of atoms: 0.448
Space-group type: P2/m

=====

15.
Here is crystalline LaDyInHg at its relaxed geometry from the Alexandria database. Energies are from PBE.

Cell lengths 5.452, 5.452, 5.452 Å; angles 60.00, 60.00, 60.00 degrees
Sites, in units of the cell vectors:
La 0.500 0.500 0.500
Hg 0.750 0.750 0.750
In 0.250 0.250 0.250
Dy 0.000 0.000 0.000

Calculated values
ΔH_f (0 K), eV per atom: -0.47
Space-group type: F-43m

=====

16.
Here is crystalline SnSb2TeRh at its relaxed geometry from the Alexandria database. Energies are from PBE.

Cell lengths 5.052, 5.052, 5.662 Å; angles 90.00, 90.00, 90.00 degrees
Sites, in units of the cell vectors:
Sb 0.500 0.000 0.000
Sb 0.000 0.500 0.000
Sn 0.500 0.500 0.500
Rh 0.000 0.000 0.000
Te 0.000 0.000 0.500

Calculated values
E above lowest polymorph, kcal/mol of atoms: 0.000
Space-group type: P4/mmm

=====

17.
Here is crystalline Li2AcDyS4 at its relaxed geometry from the Alexandria database. Energies are from PBE.

Cell lengths 4.095, 6.672, 7.155 Å; angles 68.75, 90.00, 90.00 degrees
Sites, in units of the cell vectors:
S 0.000 0.759 0.725
S 0.500 0.247 0.736
S 0.500 0.753 0.264
S 0.000 0.241 0.275
Ac 0.500 0.500 0.000
Dy 0.000 0.500 0.500
Li 0.500 0.000 0.500
Li 0.000 0.000 0.000

Calculated values
Space-group type: P2/m
E_tot, eV/cell: -43.3

=====

18.
Here is crystalline MnSiOs at its relaxed geometry from the Alexandria database. Energies are from PBE.

Cell lengths 4.929, 4.929, 4.929 Å; angles 146.43, 146.43, 48.21 degrees
Sites, in units of the cell vectors:
Si 0.659 0.659 0.000
Os 0.327 0.327 0.000
Mn 0.014 0.014 0.000

Calculated values
Space-group type: I4mm
E_tot, eV/cell: -26.4

=====

19.
Here is crystalline LaMo2AsW at its relaxed geometry from the Alexandria database. Energies are from PBE.

Cell lengths 4.729, 5.162, 4.729 Å; angles 90.00, 90.00, 90.00 degrees
Sites, in units of the cell vectors:
W 0.500 0.500 0.500
La 0.000 0.000 0.000
Mo 0.000 0.000 0.500
Mo 0.500 0.000 0.000
As 0.000 0.500 0.000

Calculated values
ΔH_f (0 K), eV per atom: 2.65
Space-group type: P4/mmm

=====

20.
Here is crystalline Ce2YSi2 at its relaxed geometry from the Alexandria database. Energies are from PBE.

Cell lengths 4.148, 5.662, 11.449 Å; angles 107.48, 90.00, 90.00 degrees
Sites, in units of the cell vectors:
Y 0.750 0.246 0.779
Y 0.250 0.754 0.221
Si 0.250 0.936 0.638
Si 0.750 0.642 0.021
Si 0.250 0.358 0.979
Si 0.750 0.064 0.362
Ce 0.750 0.203 0.132
Ce 0.250 0.797 0.868
Ce 0.250 0.336 0.516
Ce 0.750 0.664 0.484

Calculated values
E above lowest polymorph, kcal/mol of atoms: 4.862
Space-group type: P2_1/m

=====

21.
Here is crystalline Ca3LaSe at its relaxed geometry from the Alexandria database. Energies are from PBE.

Cell lengths 5.841, 5.841, 5.841 Å; angles 90.00, 90.00, 90.00 degrees
Sites, in units of the cell vectors:
Se 0.500 0.500 0.500
Ca 0.000 0.000 0.500
Ca 0.500 0.000 0.000
Ca 0.000 0.500 0.000
La 0.000 0.000 0.000

Calculated values
E above lowest polymorph, kcal/mol of atoms: 29.696
Space-group type: Pm-3m

=====

22.
Here is crystalline LaSbPdRh at its relaxed geometry from the Alexandria database. Energies are from PBE.

Cell lengths 4.110, 4.949, 5.165 Å; angles 106.23, 90.00, 114.53 degrees
Sites, in units of the cell vectors:
La 0.031 0.061 0.864
Pd 0.826 0.652 0.209
Rh 0.544 0.089 0.342
Sb 0.261 0.523 0.484

Calculated values
E above lowest polymorph, kcal/mol of atoms: 0.000
Space-group type: Cm

=====

23.
Here is crystalline CsRb4AuO at its relaxed geometry from the Alexandria database. Energies are from PBE.

Cell lengths 9.730, 9.730, 9.745 Å; angles 71.86, 71.86, 68.95 degrees
Sites, in units of the cell vectors:
Au 0.805 0.805 0.074
Au 0.195 0.195 0.926
O 0.623 0.623 0.810
O 0.377 0.377 0.190
Rb 0.557 0.557 0.121
Rb 0.443 0.443 0.879
Rb 0.087 0.454 0.198
Rb 0.651 0.651 0.525
Rb 0.349 0.349 0.475
Rb 0.913 0.546 0.802
Rb 0.454 0.087 0.198
Rb 0.546 0.913 0.802
Cs 0.022 0.022 0.752
Cs 0.978 0.978 0.248

Calculated values
Space-group type: C2/m
E_tot, eV/cell: -32.7

=====

24.
Here is crystalline Ac5Ga2Au at its relaxed geometry from the Alexandria database. Energies are from PBE.

Cell lengths 8.054, 8.054, 10.137 Å; angles 113.41, 113.41, 90.00 degrees
Sites, in units of the cell vectors:
Ac 0.500 0.500 0.000
Ac 0.528 0.677 0.704
Ac 0.323 0.823 0.296
Ac 0.000 0.000 0.000
Ac 0.823 0.972 0.296
Ac 0.177 0.028 0.704
Ac 0.677 0.177 0.704
Ac 0.972 0.472 0.296
Ac 0.028 0.528 0.704
Ac 0.472 0.323 0.296
Ga 0.387 0.887 0.000
Ga 0.613 0.113 0.000
Ga 0.887 0.613 0.000
Ga 0.113 0.387 0.000
Au 0.750 0.750 0.500
Au 0.250 0.250 0.500

Calculated values
ΔH_f (0 K), eV per atom: -0.44
Space-group type: I4/mcm

=====

25.
Here is crystalline AcPr7Ho3 at its relaxed geometry from the Alexandria database. Energies are from PBE.

Cell lengths 8.763, 7.342, 7.342 Å; angles 120.00, 90.00, 90.00 degrees
Sites, in units of the cell vectors:
Pr 0.103 0.669 0.835
Pr 0.461 0.333 0.166
Pr 0.103 0.165 0.331
Pr 0.103 0.165 0.835
Pr 0.125 0.667 0.333
Pr 0.461 0.834 0.166
Pr 0.461 0.834 0.667
Ho 0.786 0.997 0.499
Ho 0.786 0.501 0.499
Ho 0.786 0.501 0.003
Ac 0.441 0.333 0.667

Calculated values
ΔH_f (0 K), eV per atom: 0.20
Space-group type: P3m1